# Ba2NdIn

A relaxed structure of Ba2NdIn (PBE-GGA, Alexandria).

abc: 3.9296 3.9296 39.1638
angles: 90.00 90.00 120.00
Space group R-3m (No. 166, hexagonal axes)
One atom of each set of equivalent atoms:
Ba 0.0000 0.0000 0.0961 (multiplicity 6)
Nd 0.0000 0.0000 0.0000 (multiplicity 3)
In 0.0000 0.0000 0.5000 (multiplicity 3)

Formation energy from the elements, eV per formula unit: 0.65